# 1
The following is a DFT calculation (PBE) of a relaxed KSrF2 crystal.

Computed properties:
The symmetry is Fm-3m, No. 225. As for the energy relative to the lowest polymorph listed for this composition: 621 meV per atom. The total magnetization is 0.00 Bohr magnetons per cell. The density of states at the Fermi level comes out at 1.69 states/eV/cell. The total energy is -3.814 eV/atom.

Structure (POSCAR):
```
KSrF2
1.0
-1.5326 -4.7179 0.0055
-1.3440 -2.1663 4.2554
-4.7723 -1.0567 0.8461
Sr K F
1 1 2
Direct
0.5000 0.5000 0.5000
0.0000 0.0000 0.0000
0.2500 0.2500 0.2500
0.7500 0.7500 0.7500
```


# 2
The following is a DFT calculation (PBE) of a relaxed SnRuSCl2 crystal.

Computed properties:
The symmetry is P4/mmm, No. 123. As for the energy relative to the lowest polymorph listed for this composition: 709 meV per atom. The total magnetization is 3.16 Bohr magnetons per cell. The density of states at the Fermi level comes out at 9.39 states/eV/cell. The total energy is -3.594 eV/atom.

Structure (POSCAR):
```
SnRuSCl2
1.0
5.1537 0.0000 0.0000
0.0000 5.1537 0.0000
0.0000 0.0000 5.1056
Ru S Sn Cl
1 1 1 2
Direct
0.5000 0.5000 0.5000
0.0000 0.0000 0.5000
0.0000 0.0000 0.0000
0.0000 0.5000 0.0000
0.5000 0.0000 0.0000
```


# 3
The following is a DFT calculation (PBE) of a relaxed BeTc2Se crystal.

Computed properties:
The symmetry is P4mm, No. 99. As for the energy relative to the lowest polymorph listed for this composition: 0 meV per atom. The total magnetization is 0.00 Bohr magnetons per cell. The density of states at the Fermi level comes out at 2.09 states/eV/cell. The total energy is -7.019 eV/atom.

Structure (POSCAR):
```
BeTc2Se
1.0
-2.4404 -1.7847 -0.4802
1.5448 -1.5332 -2.1527
1.8896 -3.6477 3.9539
Be Tc Se
1 2 1
Direct
0.0000 0.0000 0.4708
0.0000 0.0000 0.9945
0.5000 0.5000 0.2966
0.5000 0.5000 0.7381
```


# 4
The following is a DFT calculation (PBE) of a relaxed Pu2Be3AlSi4 crystal.

Computed properties:
The symmetry is P-4m2, No. 115. The total magnetization is 11.34 Bohr magnetons per cell. The density of states at the Fermi level comes out at 16.17 states/eV/cell. The total energy is -6.824 eV/atom.

Structure (POSCAR):
```
Pu2Be3AlSi4
1.0
-1.6220 -0.9670 3.4852
-3.2288 -1.3342 -1.8728
3.9826 -8.8091 -0.5906
Pu Be Al Si
2 3 1 4
Direct
0.5000 0.0000 0.2357
0.0000 0.5000 0.7643
0.0000 0.0000 0.5000
0.5000 0.0000 0.8792
0.0000 0.5000 0.1208
0.5000 0.5000 0.5000
0.5000 0.5000 0.0000
0.0000 0.0000 0.0000
0.5000 0.0000 0.6496
0.0000 0.5000 0.3504
```


no.,E_form (uncorrected) (eV/atom)
1,-2.183
2,0.626
3,-0.033
4,-0.296